Compound: TbLuAg2Sn2
Source: OQMD via LeMat-Bulk
Functional: GGA-PBE
Structure: optimized geometry

Structure (POSCAR):
```
TbLuAg2Sn2
1.0
4.7163 0.0000 0.0000
-2.3582 4.0845 0.0000
0.0000 0.0000 7.2846
Ag Sn Tb Lu
2 2 1 1
direct
0.3333 0.6667 0.9535
0.6667 0.3333 0.4452
0.3333 0.6667 0.5372
0.6667 0.3333 0.0421
0.0000 0.0000 0.7604
0.0000 0.0000 0.2615
```

Computed properties:
Crystal system ... trigonal
Magnetic moment ... 0.0 μB/f.u.
Final energy ... -26.20 eV per formula unit